Entry 1:
This record from Alexandria describes a relaxed CePmBi2 crystal. The functional is PBE-GGA.

Summary:
- Magnetic moment: 1.20 μB/f.u.
- Fermi-level density of states: 7.604 states/eV/f.u.
- Formation energy: -0.6867 eV/atom

Unit cell a=4.1861 b=4.1861 c=6.9589 alpha=90.00 beta=90.00 gamma=90.00
Last column: nearest neighbours and their distance in Å.
Fractional coordinates of all 4 atoms:
1 Ce 0.5000 0.5000 0.5000  8 Bi 3.43, 2 Pm 3.48
2 Bi 0.0000 0.0000 0.7502  4 Pm 3.43, 4 Ce 3.43, 2 Bi 3.48
3 Bi 0.0000 0.0000 0.2498  4 Pm 3.43, 4 Ce 3.43, 2 Bi 3.48
4 Pm 0.5000 0.5000 0.0000  8 Bi 3.43, 2 Ce 3.48

---

Entry 2:
This record from Alexandria describes a relaxed P2PbSe crystal. The functional is PBE-GGA.

Summary:
- Magnetic moment: 0.00 μB/f.u.
- Formation energy without anion corrections: 0.193 eV/atom
- Fermi-level density of states: 1.556 states/eV/f.u.

Unit cell a=6.0959 b=6.0959 c=6.0959 alpha=148.83 beta=124.08 gamma=65.42
Last column: nearest neighbours and their distance in Å.
Fractional coordinates of all 4 atoms:
1 P 0.9721 0.9721 0.0000  2 P 2.19
2 P 0.8300 0.3300 0.5000  2 P 2.19
3 Pb 0.4707 0.4707 0.0000  2 Se 2.99, 6 P 3.20-3.29, 2 Pb 3.28
4 Se 0.2272 0.7272 0.5000  2 Pb 2.99, 2 P 3.09, 2 Se 3.28

---

Entry 3:
This record from Alexandria describes a relaxed BeSiMo crystal. The functional is PBE-GGA.

Summary:
- Magnetic moment: 0.00 μB/f.u.
- Formation energy without anion corrections: -0.021 eV/atom
- Fermi-level density of states: 1.997 states/eV/f.u.

Unit cell a=4.5968 b=4.5968 c=4.5968 alpha=141.39 beta=141.39 gamma=55.76
Last column: nearest neighbours and their distance in Å.
Fractional coordinates of all 3 atoms:
1 Be 0.0076 0.0076 0.0000  4 Si 2.47, 5 Mo 2.56-2.67
2 Si 0.6564 0.6564 0.0000  4 Be 2.47, 5 Mo 2.60
3 Mo 0.3360 0.3360 0.0000  5 Be 2.56-2.67, 5 Si 2.60

---

Entry 4:
This record from Alexandria describes a relaxed CaLaY2 crystal. The functional is PBE-GGA.

Summary:
- Magnetic moment: 0.00 μB/f.u.
- Fermi-level density of states: 7.194 states/eV/f.u.
- Formation energy: 0.0942 eV/atom

Unit cell a=3.6812 b=5.2440 c=7.3285 alpha=90.00 beta=90.00 gamma=90.00
Last column: nearest neighbours and their distance in Å.
Fractional coordinates of all 4 atoms:
1 Ca 0.5000 0.5000 0.2500  2 La 3.66, 2 Ca 3.68, 8 Y 3.72
2 Y 0.0000 0.0000 0.5090  4 Y 3.53-3.80, 4 La 3.66, 4 Ca 3.72
3 Y 0.0000 0.0000 0.9910  4 Y 3.53-3.80, 4 La 3.66, 4 Ca 3.72
4 La 0.5000 0.5000 0.7500  8 Y 3.66, 2 Ca 3.66, 2 La 3.68

---

Entry 5:
This record from Alexandria describes a relaxed SrSnAsO crystal. The functional is PBE-GGA.

Summary:
- Magnetic moment: 0.00 μB/f.u.
- Formation energy without anion corrections: -1.269 eV/atom
- Fermi-level density of states: 1.334 states/eV/f.u.

Unit cell a=4.5124 b=4.5124 c=11.4819 alpha=90.00 beta=90.00 gamma=120.00
Last column: nearest neighbours and their distance in Å.
Fractional coordinates of all 8 atoms:
1 O 0.0000 0.0000 0.9844  1 Sn 2.07
2 O 0.0000 0.0000 0.4844  1 Sn 2.07
3 As 0.6667 0.3333 0.7279  3 Sn 2.70
4 As 0.3333 0.6667 0.2279  3 Sn 2.70
5 Sn 0.0000 0.0000 0.6645  1 O 2.07
6 Sn 0.0000 0.0000 0.1645  1 O 2.07
7 Sr 0.3333 0.6667 0.9355  3 O 2.66
8 Sr 0.6667 0.3333 0.4355  3 O 2.66

---

Entry 6:
This record from Alexandria describes a relaxed LiGdPuPd crystal. The functional is PBE-GGA.

Summary:
- Magnetic moment: 12.97 μB/f.u.
- Fermi-level density of states: 8.649 states/eV/f.u.
- Formation energy: -0.1808 eV/atom

Unit cell a=5.0390 b=5.0390 c=5.0390 alpha=60.00 beta=60.00 gamma=60.00
Last column: nearest neighbours and their distance in Å.
Fractional coordinates of all 4 atoms:
1 Pd 0.5000 0.5000 0.5000  4 Gd 3.09, 4 Pu 3.09
2 Pu 0.7500 0.7500 0.7500  4 Li 3.09, 4 Pd 3.09
3 Li 0.0000 0.0000 0.0000  4 Gd 3.09, 4 Pu 3.09
4 Gd 0.2500 0.2500 0.2500  4 Pd 3.09, 4 Li 3.09

---

Entry 7:
This record from Alexandria describes a relaxed In3IrBr crystal. The functional is PBE-GGA.

Summary:
- Magnetic moment: 0.00 μB/f.u.
- Formation energy without anion corrections: -0.206 eV/atom
- Fermi-level density of states: 2.481 states/eV/f.u.

Unit cell a=12.3590 b=10.0630 c=10.0630 alpha=86.63 beta=127.89 gamma=52.11
Last column: nearest neighbours and their distance in Å.
Fractional coordinates of all 20 atoms:
1 Br 0.6631 0.0776 0.0774  2 In 2.78-3.11
2 Br 0.1631 0.4226 0.4224  2 In 2.78-3.11
3 Br 0.3369 0.9224 0.9226  2 In 2.78-3.11
4 Br 0.8369 0.5774 0.5776  2 In 2.78-3.11
5 In 0.8733 0.2364 0.2363  2 Ir 2.73-2.74, 1 In 2.82
6 In 0.8718 0.0072 0.0071  1 Br 2.78, 4 Ir 2.80-2.93, 2 In 3.08
7 In 0.8459 0.7899 0.7897  2 Ir 2.75, 1 In 2.82
8 In 0.6541 0.2897 0.2899  2 Ir 2.75, 1 In 2.82
9 In 0.3718 0.4929 0.4928  1 Br 2.78, 4 Ir 2.80-2.93, 2 In 3.08
10 In 0.1267 0.7636 0.7637  2 Ir 2.73-2.74, 1 In 2.82
11 In 0.3459 0.7103 0.7101  2 Ir 2.75, 1 In 2.82
12 In 0.1282 0.9928 0.9929  1 Br 2.78, 4 Ir 2.80-2.93, 2 In 3.08
13 In 0.6267 0.7363 0.7364  2 Ir 2.73-2.74, 1 In 2.82
14 In 0.1541 0.2101 0.2103  2 Ir 2.75, 1 In 2.82
15 In 0.6282 0.5071 0.5072  1 Br 2.78, 4 Ir 2.80-2.93, 2 In 3.08
16 In 0.3733 0.2637 0.2636  2 Ir 2.73-2.74, 1 In 2.82
17 Ir 0.7500 0.1251 0.6251  8 In 2.73-2.93
18 Ir 0.2500 0.6251 0.1251  8 In 2.74-2.93
19 Ir 0.2500 0.8749 0.3749  8 In 2.73-2.93
20 Ir 0.7500 0.3749 0.8749  8 In 2.74-2.93

---

Entry 8:
This record from Alexandria describes a relaxed Ag2MoW crystal. The functional is PBE-GGA.

Summary:
- Magnetic moment: 0.00 μB/f.u.
- Fermi-level density of states: 3.358 states/eV/f.u.
- Formation energy: 0.5967 eV/atom

Unit cell a=5.4805 b=5.3834 c=2.6763 alpha=75.00 beta=83.28 gamma=115.34
Last column: nearest neighbours and their distance in Å.
Fractional coordinates of all 4 atoms:
1 Ag 0.0000 0.5000 0.5000  4 Ag 2.68, 2 Mo 2.91, 2 W 2.91
2 Ag 0.0000 0.0000 0.0000  4 Ag 2.68, 2 W 2.91, 2 Mo 2.91
3 Mo 0.5000 0.5000 0.0000  2 Mo 2.68, 2 W 2.68, 4 Ag 2.91
4 W 0.5000 0.0000 0.5000  2 W 2.68, 2 Mo 2.68, 4 Ag 2.91

---

Entry 9:
This record from Alexandria describes a relaxed La2ErTl3 crystal. The functional is PBE-GGA.

Summary:
- Magnetic moment: 0.00 μB/f.u.
- Fermi-level density of states: 4.606 states/eV/f.u.
- Formation energy: -0.3953 eV/atom

Unit cell a=3.8434 b=3.8434 c=12.1182 alpha=90.00 beta=90.00 gamma=90.00
Last column: nearest neighbours and their distance in Å.
Fractional coordinates of all 6 atoms:
1 La 0.5000 0.5000 0.1749  8 Tl 3.45-3.46, 4 La 3.84
2 La 0.5000 0.5000 0.8251  8 Tl 3.45-3.46, 4 La 3.84
3 Tl 0.0000 0.0000 0.3514  4 Er 3.26, 4 La 3.46, 1 Tl 3.60
4 Tl 0.0000 0.0000 0.0000  8 La 3.45, 4 Tl 3.84
5 Tl 0.0000 0.0000 0.6486  4 Er 3.26, 4 La 3.46, 1 Tl 3.60
6 Er 0.5000 0.5000 0.5000  8 Tl 3.26

---

Entry 10:
This record from Alexandria describes a relaxed P2Os crystal. The functional is PBE-GGA.

Summary:
- Magnetic moment: 0.00 μB/f.u.
- Formation energy: -0.5203 eV/atom

Unit cell a=2.9468 b=5.1238 c=5.9315 alpha=90.00 beta=90.00 gamma=90.00
Last column: nearest neighbours and their distance in Å.
Fractional coordinates of all 6 atoms:
1 P 0.0000 0.8375 0.6278  1 P 2.25, 3 Os 2.36-2.40
2 P 0.0000 0.1625 0.3722  1 P 2.25, 3 Os 2.36-2.40
3 P 0.5000 0.6625 0.1278  1 P 2.25, 3 Os 2.36-2.40
4 P 0.5000 0.3375 0.8722  1 P 2.25, 3 Os 2.36-2.40
5 Os 0.0000 0.0000 0.0000  6 P 2.36-2.40
6 Os 0.5000 0.5000 0.5000  6 P 2.36-2.40

---

Entry 11:
This record from Alexandria describes a relaxed TaTeN2F crystal. The functional is PBE-GGA.

Summary:
- Magnetic moment: 0.18 μB/f.u.
- Formation energy without anion corrections: 1.702 eV/atom
- Fermi-level density of states: 2.415 states/eV/f.u.

Unit cell a=4.1413 b=4.1413 c=3.9926 alpha=90.00 beta=90.00 gamma=90.00
Last column: nearest neighbours and their distance in Å.
Fractional coordinates of all 5 atoms:
1 F 0.0000 0.0000 0.0000  2 Te 2.00, 4 N 2.07
2 Te 0.0000 0.0000 0.5000  2 F 2.00
3 N 0.5000 0.0000 0.0000  2 F 2.07
4 N 0.0000 0.5000 0.0000  2 F 2.07
5 Ta 0.5000 0.5000 0.5000  8 N 2.88, 4 Te 2.93

---

Entry 12:
This record from Alexandria describes a relaxed NaAl3Ag10 crystal. The functional is PBE-GGA.

Summary:
- Magnetic moment: 0.00 μB/f.u.
- Fermi-level density of states: 6.604 states/eV/f.u.
- Formation energy: 0.0605 eV/atom

Unit cell a=9.2004 b=9.2003 c=9.2003 alpha=60.00 beta=60.00 gamma=60.00
Last column: nearest neighbours and their distance in Å.
Fractional coordinates of all 28 atoms:
1 Al 0.2689 0.7311 0.2689  8 Ag 2.57-2.63
2 Al 0.7311 0.7311 0.2689  8 Ag 2.57-2.63
3 Al 0.7311 0.2689 0.7311  8 Ag 2.57-2.63
4 Al 0.7311 0.2689 0.2689  8 Ag 2.57-2.63
5 Al 0.2689 0.2689 0.7311  8 Ag 2.57-2.63
6 Al 0.2689 0.7311 0.7311  8 Ag 2.57-2.63
7 Ag 0.0000 0.0000 0.3454  2 Al 2.57, 1 Ag 2.84
8 Ag 0.3454 0.6546 0.0000  2 Al 2.57, 1 Ag 2.84
9 Ag 0.6546 0.0000 0.3454  2 Al 2.57, 1 Ag 2.84
10 Ag 0.6546 0.3454 0.0000  2 Al 2.57, 1 Ag 2.84
11 Ag 0.0000 0.6546 0.0000  2 Al 2.57, 1 Ag 2.84
12 Ag 0.3454 0.0000 0.6546  2 Al 2.57, 1 Ag 2.84
13 Ag 0.6546 0.0000 0.0000  2 Al 2.57, 1 Ag 2.84
14 Ag 0.6191 0.6191 0.6191  3 Al 2.63
15 Ag 0.3454 0.0000 0.0000  2 Al 2.57, 1 Ag 2.84
16 Ag 0.6191 0.6191 0.1426  3 Al 2.63
17 Ag 0.3809 0.3809 0.8574  3 Al 2.63
18 Ag 0.3809 0.8574 0.3809  3 Al 2.63
19 Ag 0.0000 0.6546 0.3454  2 Al 2.57, 1 Ag 2.84
20 Ag 0.0000 0.3454 0.6546  2 Al 2.57, 1 Ag 2.84
21 Ag 0.6191 0.1426 0.6191  3 Al 2.63
22 Ag 0.0000 0.0000 0.6546  2 Al 2.57, 1 Ag 2.84
23 Ag 0.3809 0.3809 0.3809  3 Al 2.63
24 Ag 0.0000 0.3454 0.0000  2 Al 2.57, 1 Ag 2.84
25 Ag 0.8574 0.3809 0.3809  3 Al 2.63
26 Ag 0.1426 0.6191 0.6191  3 Al 2.63
27 Na 0.7500 0.7500 0.7500  4 Ag 2.95
28 Na 0.2500 0.2500 0.2500  4 Ag 2.95

---

- Which formula does entry 2 have?
  P2PbSe